(1)
Below is crystalline La4PmPrNd2 at its relaxed geometry, with properties calculated at the PBE-GGA level.

Cell lengths 3.7162, 6.4309, 12.2726 Å; angles 79.81, 90.00, 90.00 degrees
Sites, in units of the cell vectors:
1 Nd 0.5000 0.0000 0.5000
2 Nd 0.0000 0.0000 0.0000
3 Pr 0.5000 0.5000 0.0000
4 Pm 0.0000 0.5000 0.5000
5 La 0.0000 0.7505 0.7489
6 La 0.5000 0.7501 0.2510
7 La 0.5000 0.2499 0.7490
8 La 0.0000 0.2495 0.2511

***

(2)
Below is crystalline La2Pm4PrNd at its relaxed geometry, with properties calculated at the PBE-GGA level.

Cell lengths 3.6978, 6.3804, 12.2198 Å; angles 79.71, 90.00, 90.00 degrees
Sites, in units of the cell vectors:
1 Pm 0.5000 0.2512 0.7491
2 Pm 0.0000 0.7508 0.7500
3 Pm 0.5000 0.7488 0.2509
4 Pm 0.0000 0.2492 0.2500
5 Nd 0.0000 0.5000 0.5000
6 Pr 0.5000 0.5000 0.0000
7 La 0.5000 0.0000 0.5000
8 La 0.0000 0.0000 0.0000

***

(3)
Below is crystalline La6PmPrNd2 at its relaxed geometry, with properties calculated at the PBE-GGA level.

Cell lengths 9.2852, 7.0923, 6.7969 Å; angles 121.45, 104.56, 90.00 degrees
Sites, in units of the cell vectors:
1 La 0.5782 0.3727 0.7453
2 La 0.1992 0.5723 0.6119
3 La 0.8008 0.4277 0.3881
4 La 0.1992 0.0396 0.6119
5 La 0.8008 0.9604 0.3881
6 La 0.4218 0.6273 0.2547
7 Nd 0.1709 0.0775 0.1551
8 Nd 0.8291 0.9225 0.8449
9 Pr 0.0000 0.5000 0.0000
10 Pm 0.5000 0.0000 0.0000

***

(4)
Below is crystalline LaPm5PrNd2 at its relaxed geometry, with properties calculated at the PBE-GGA level.

Cell lengths 9.4563, 8.2438, 8.2438 Å; angles 90.00, 90.00, 90.00 degrees
Sites, in units of the cell vectors:
1 Pr 0.0000 0.5000 0.5000
2 Pr 0.0000 0.0000 0.0000
3 Pm 0.5000 0.0000 0.0000
4 Pm 0.7651 0.2047 0.7047
5 Pm 0.7651 0.7047 0.7953
6 Pm 0.2349 0.7953 0.2953
7 Pm 0.2349 0.7047 0.7953
8 Pm 0.2349 0.2047 0.7047
9 Pm 0.7651 0.2953 0.2047
10 Pm 0.2349 0.2953 0.2047
11 Pm 0.5000 0.5000 0.5000
12 Pm 0.7651 0.7953 0.2953
13 Nd 0.5000 0.6276 0.1276
14 Nd 0.5000 0.3724 0.8724
15 Nd 0.5000 0.8724 0.6276
16 Nd 0.5000 0.1276 0.3724
17 La 0.0000 0.5000 0.0000
18 La 0.0000 0.0000 0.5000

***

(5)
Below is crystalline La5PmPr2Nd at its relaxed geometry, with properties calculated at the PBE-GGA level.

Cell lengths 8.9871, 8.9871, 10.2971 Å; angles 115.87, 115.87, 90.00 degrees
Sites, in units of the cell vectors:
1 Pr 0.3798 0.8798 0.0000
2 Pr 0.1202 0.3798 0.0000
3 Pr 0.8798 0.6202 0.0000
4 Pr 0.6202 0.1202 0.0000
5 La 0.4381 0.3414 0.2795
6 La 0.0000 0.0000 0.0000
7 La 0.3414 0.8414 0.2795
8 La 0.0619 0.5619 0.7205
9 La 0.6586 0.1586 0.7205
10 La 0.8414 0.9381 0.2795
11 La 0.1586 0.0619 0.7205
12 La 0.9381 0.4381 0.2795
13 La 0.5000 0.5000 0.0000
14 La 0.5619 0.6586 0.7205
15 Nd 0.2500 0.7500 0.5000
16 Nd 0.7500 0.2500 0.5000
17 Pm 0.7500 0.7500 0.5000
18 Pm 0.2500 0.2500 0.5000

***

(6)
Below is crystalline LaPm6Pr2Nd at its relaxed geometry, with properties calculated at the PBE-GGA level.

Cell lengths 10.0731, 9.0083, 9.0083 Å; angles 118.20, 94.79, 94.79 degrees
Sites, in units of the cell vectors:
1 Pm 0.0558 0.1174 0.7437
2 Pm 0.1833 0.5750 0.0259
3 Pm 0.4442 0.2563 0.8826
4 Pm 0.3784 0.5042 0.2966
5 Pm 0.6833 0.0259 0.5750
6 Pm 0.6216 0.4958 0.7034
7 Pm 0.1216 0.7034 0.4958
8 Pm 0.5558 0.7437 0.1174
9 Pm 0.8784 0.2966 0.5042
10 Pm 0.9442 0.8826 0.2563
11 Pm 0.3167 0.9741 0.4250
12 Pm 0.8167 0.4250 0.9741
13 La 0.7500 0.5959 0.4041
14 La 0.2500 0.4041 0.5959
15 Pr 0.5414 0.1881 0.2882
16 Pr 0.9586 0.7118 0.8119
17 Pr 0.0414 0.2882 0.1881
18 Pr 0.4586 0.8119 0.7118
19 Nd 0.2500 0.9818 0.0182
20 Nd 0.7500 0.0182 0.9818

***

(7)
Below is crystalline La3Pm6PrNd2 at its relaxed geometry, with properties calculated at the PBE-GGA level.

Cell lengths 6.3994, 6.3994, 12.1818 Å; angles 95.06, 95.06, 120.06 degrees
Sites, in units of the cell vectors:
1 Pm 0.7491 0.7491 0.2484
2 Pm 0.9174 0.5838 0.7517
3 Pm 0.4162 0.0826 0.2483
4 Pm 0.0826 0.4162 0.2483
5 Pm 0.5838 0.9174 0.7517
6 Pm 0.2509 0.2509 0.7516
7 Nd 0.3334 0.6666 0.0000
8 Nd 0.6666 0.3334 0.0000
9 La 0.8331 0.1669 0.5000
10 La 0.1669 0.8331 0.5000
11 La 0.5000 0.5000 0.5000
12 Pr 0.0000 0.0000 0.0000

***

(8)
Below is crystalline La2Pm4Pr2Nd at its relaxed geometry, with properties calculated at the PBE-GGA level.

Cell lengths 3.7245, 9.8430, 9.8888 Å; angles 115.24, 90.00, 100.91 degrees
Sites, in units of the cell vectors:
1 Pm 0.8152 0.6303 0.6658
2 Pm 0.1848 0.3697 0.3342
3 Pm 0.4811 0.9621 0.6678
4 Pm 0.5189 0.0379 0.3322
5 La 0.3338 0.6675 0.9995
6 La 0.6662 0.3325 0.0005
7 Pr 0.1478 0.2957 0.6659
8 Pr 0.8522 0.7043 0.3341
9 Nd 0.0000 0.0000 0.0000

***

(9)
Below is crystalline LaPmPr2Nd6 at its relaxed geometry, with properties calculated at the PBE-GGA level.

Cell lengths 10.1069, 9.0445, 9.0445 Å; angles 118.23, 94.83, 94.83 degrees
Sites, in units of the cell vectors:
1 Pm 0.2500 0.9813 0.0187
2 Pm 0.7500 0.0187 0.9813
3 Nd 0.3784 0.5032 0.2964
4 Nd 0.1839 0.5751 0.0243
5 Nd 0.6839 0.0243 0.5751
6 Nd 0.6216 0.4968 0.7036
7 Nd 0.9446 0.8833 0.2539
8 Nd 0.4446 0.2539 0.8833
9 Nd 0.0554 0.1167 0.7461
10 Nd 0.5554 0.7461 0.1167
11 Nd 0.1216 0.7036 0.4968
12 Nd 0.8161 0.4249 0.9757
13 Nd 0.3161 0.9757 0.4249
14 Nd 0.8784 0.2964 0.5032
15 Pr 0.0415 0.2874 0.1883
16 Pr 0.9585 0.7126 0.8117
17 Pr 0.4585 0.8117 0.7126
18 Pr 0.5415 0.1883 0.2874
19 La 0.7500 0.5959 0.4041
20 La 0.2500 0.4041 0.5959

***

Number 1: formation energy from the elements 1 kJ per mole of atoms, calculated volume 289 Å³/f.u.. Number 2: formation energy from the elements 1 kJ per mole of atoms, calculated volume 284 Å³/f.u.. Number 3: formation energy from the elements 16 kJ per mole of atoms, calculated volume 365 Å³/f.u.. Number 4: formation energy from the elements 24 kJ per mole of atoms, calculated volume 321 Å³/f.u.. Number 5: formation energy from the elements 22 kJ per mole of atoms, calculated volume 327 Å³/f.u.. Number 6: formation energy from the elements 11 kJ per mole of atoms, calculated volume 355 Å³/f.u.. Number 7: formation energy from the elements 1 kJ per mole of atoms, calculated volume 425 Å³/f.u.. Number 8: formation energy from the elements 1 kJ per mole of atoms, calculated volume 321 Å³/f.u.. Number 9: formation energy from the elements 11 kJ per mole of atoms, calculated volume 359 Å³/f.u..